No. 1
Density functional theory data (PBE) for a relaxed structure of Ni8Ir2Pt3.

Cell: 6.058 14.590 4.036 Å, 90.00 90.00 90.00°
Space group Cmmm (No. 65)
Asymmetric unit:
1 Ni 0.000 0.135 0.000
2 Ni 0.000 0.337 0.000
3 Ni 0.203 0.383 0.500
4 Ir 0.000 0.236 0.500
5 Pt 0.000 0.000 0.500
6 Pt 0.212 0.500 0.000

Properties
The size of the total moment is 0.457 μB/atom. The calculation puts the formation energy at 0.26 eV/atom. Its mass density is 13.4 g/cm³.

No. 2
Density functional theory data (PBE) for a relaxed structure of NiIr2Pt.

Cell: 2.7300 2.7300 26.1371 Å, 90.00 90.00 120.00°
Space group R-3m (No. 166, hexagonal axes)
Asymmetric unit:
1 Ni 0.0000 0.0000 0.0000
2 Ir 0.0000 0.0000 0.2559
3 Pt 0.0000 0.0000 0.5000

Properties
The size of the total moment is 0.069 μB/atom. The calculation puts the formation energy at 0.06 eV/atom. Its mass density is 18.8 g/cm³. The value obtained for the excess energy over the best structure of this formula in the dataset is 72 meV/atom.

No. 3
Density functional theory data (PBE) for a relaxed structure of Ni8Ir2Pt.

Cell: 12.447 4.713 4.931 Å, 90.00 106.49 90.00°
Space group C2/m (No. 12)
Asymmetric unit:
1 Ni 0.066 0.000 0.224
2 Ni 0.095 0.250 0.659
3 Ni 0.211 0.500 0.369
4 Ir 0.233 0.000 0.085
5 Pt 0.000 0.500 0.000

Properties
The size of the total moment is 0.471 μB/atom. The calculation puts the formation energy at 0.18 eV/atom. Its mass density is 12.6 g/cm³.

No. 4
Density functional theory data (PBE) for a relaxed structure of Ni3IrPt3.

Cell: 7.0901 7.0901 13.1510 Å, 90.00 90.00 120.00°
Space group R-3 (No. 148, hexagonal axes)
Asymmetric unit:
1 Ni 0.0491 0.2328 0.4163
2 Ir 0.0000 0.0000 0.2579
3 Pt 0.0394 0.2433 0.9147

Properties
The size of the total moment is 0.371 μB/atom. The calculation puts the formation energy at -0.01 eV/atom. Its mass density is 16.6 g/cm³. The value obtained for the excess energy over the best structure of this formula in the dataset is 0 meV/atom.